# 1
Here is a relaxed SrMnAs2 crystal from Alexandria via LeMat-Bulk. Energies are from PBE-GGA.

Lattice parameters (Å, degrees): 6.871 6.871 6.871 33.74 33.74 33.74
Positions (direct):
1 Sr 0.000 0.000 0.000
2 Mn 0.500 0.500 0.500
3 As 0.226 0.226 0.226
4 As 0.774 0.774 0.774

# 2
Here is a relaxed SrMnAs2 crystal from Alexandria via LeMat-Bulk. Energies are from PBE-GGA.

Lattice parameters (Å, degrees): 4.812 4.812 4.491 90.00 90.00 90.00
Positions (direct):
1 Sr 0.000 0.000 0.000
2 Mn 0.500 0.500 0.605
3 As 0.000 0.500 0.495
4 As 0.500 0.000 0.495

# 3
Here is a relaxed SrMnAs2 crystal from Alexandria via LeMat-Bulk. Energies are from PBE-GGA.

Lattice parameters (Å, degrees): 7.043 7.043 7.043 32.63 32.63 32.63
Positions (direct):
1 Sr 0.000 0.000 0.000
2 Mn 0.826 0.826 0.826
3 As 0.221 0.221 0.221
4 As 0.436 0.436 0.436

# 4
Here is a relaxed SrMnAs2 crystal from Alexandria via LeMat-Bulk. Energies are from PBE-GGA.

Lattice parameters (Å, degrees): 5.917 5.917 5.917 138.50 138.50 60.13
Positions (direct):
1 Sr 0.000 0.000 0.000
2 Mn 0.750 0.250 0.500
3 As 0.250 0.750 0.500
4 As 0.500 0.500 0.000

# 5
Here is a relaxed SrMnAs2 crystal from Alexandria via LeMat-Bulk. Energies are from PBE-GGA.

Lattice parameters (Å, degrees): 5.265 5.265 5.265 133.37 107.49 90.73
Positions (direct):
1 Sr 0.000 0.000 0.000
2 Mn 0.500 0.500 0.000
3 As 0.312 0.812 0.500
4 As 0.688 0.188 0.500

# 6
Here is a relaxed SrMn3As crystal from Alexandria via LeMat-Bulk. Energies are from PBE-GGA.

Lattice parameters (Å, degrees): 5.020 5.020 5.020 90.00 90.00 90.00
Positions (direct):
1 Sr 0.000 0.000 0.000
2 Mn 0.000 0.000 0.500
3 Mn 0.000 0.500 0.000
4 Mn 0.500 0.000 0.000
5 As 0.500 0.500 0.500

## Properties
For the relative energy among the computed polymorphs, the calculation gives 1.672 eV per atom.

# 7
Here is a relaxed SrMnAs2 crystal from Alexandria via LeMat-Bulk. Energies are from PBE-GGA.

Lattice parameters (Å, degrees): 4.776 4.776 4.776 60.00 60.00 60.00
Positions (direct):
1 Sr 0.000 0.000 0.000
2 Mn 0.500 0.500 0.500
3 As 0.250 0.250 0.250
4 As 0.750 0.750 0.750

# 8
Here is a relaxed SrMnAs2 crystal from Alexandria via LeMat-Bulk. Energies are from PBE-GGA.

Lattice parameters (Å, degrees): 7.505 7.505 7.505 153.45 151.06 39.68
Positions (direct):
1 Sr 0.000 0.000 0.000
2 Mn 0.752 0.252 0.500
3 As 0.318 0.818 0.500
4 As 0.626 0.626 0.000

Quick rundown of ΔH_f (0 K), same order as above: -0.57, -0.41, -0.54, -0.13, -0.41, 2.03, 0.15, -0.34 eV per atom